1.
# PBE-GGA Tb9Ce4Dy11, optimized geometry
data_Tb9Ce4Dy11
_chemical_formula_sum 'Tb18 Ce8 Dy22'
_cell_length_a 16.725
_cell_length_b 24.977
_cell_length_c 3.653
_cell_angle_alpha 90.00
_cell_angle_beta 90.00
_cell_angle_gamma 90.00
_space_group_name_H-M_alt 'C m m m'
_space_group_IT_number 65
_space_group_name_Hall '-C 2 2'
loop_
_atom_site_label
_atom_site_fract_x
_atom_site_fract_y
_atom_site_fract_z
Tb1 0.000 0.000 0.000
Tb2 0.102 0.237 0.000
Tb3 0.141 0.427 0.000
Ce1 0.152 0.099 0.000
Dy1 0.000 0.137 0.500
Dy2 0.000 0.342 0.500
Dy3 0.000 0.500 0.500
Dy4 0.212 0.000 0.500
Dy5 0.229 0.320 0.500
# Mass density, kg/m3: 8223
# Density of states at the Fermi level, states/eV per atom: 1.943
# Formation energy, eV/atom: 0.10

2.
# PBE-GGA KFePb, optimized geometry
data_KFePb
_chemical_formula_sum 'K4 Fe4 Pb4'
_cell_length_a 7.514
_cell_length_b 7.514
_cell_length_c 7.514
_cell_angle_alpha 90.00
_cell_angle_beta 90.00
_cell_angle_gamma 90.00
_space_group_name_H-M_alt 'F -4 3 m'
_space_group_IT_number 216
_space_group_name_Hall 'F -4 2 3'
loop_
_atom_site_label
_atom_site_fract_x
_atom_site_fract_y
_atom_site_fract_z
K1 0.000 0.000 0.000
Fe1 0.250 0.250 0.750
Pb1 0.250 0.250 0.250
# Mass density, kg/m3: 4730
# Density of states at the Fermi level, states/eV per atom: 1.198
# Formation energy, eV/atom: 1.37